w | Entry from Alexandria via LeMat-Bulk: an optimized crystal structure of SrCuPd (PBE-GGA).

Its calculated density is 7.10 g/cm³.

The space group is Imma (No. 74) and the conventional cell measures 5.378, 5.761 and 7.777 Å, with angles of 90.00, 90.00 and 90.00 degrees. The asymmetric unit holds Sr at (0.000, 0.250, 0.123), Cu at (0.250, 0.250, 0.750) and Pd at (0.000, 0.000, 0.500).

***

x | Entry from Alexandria via LeMat-Bulk: an optimized crystal structure of SrCuPd (PBE-GGA).

Its calculated density is 6.10 g/cm³.

The space group is P-6m2 (No. 187) and the conventional cell measures 4.3592, 4.3592 and 4.2622 Å, with angles of 90.00, 90.00 and 120.00 degrees. The asymmetric unit holds Sr at (0.0000, 0.0000, 0.0000), Cu at (0.3333, 0.6667, 0.5000) and Pd at (0.6667, 0.3333, 0.5000).

***

Which of them is the least stable? Correct choice: x.

***

w | Entry from Alexandria via LeMat-Bulk: an optimized crystal structure of Sr2CuPd2 (PBE-GGA).

Its calculated density is 6.29 g/cm³.

The space group is Immm (No. 71) and the conventional cell measures 4.443, 5.811 and 9.234 Å, with angles of 90.00, 90.00 and 90.00 degrees. The asymmetric unit holds Sr at (0.000, 0.000, 0.196), Cu at (0.000, 0.500, 0.000) and Pd at (0.000, 0.249, 0.500).

***

x | Entry from Alexandria via LeMat-Bulk: an optimized crystal structure of Sr2CuPd2 (PBE-GGA).

Its calculated density is 6.29 g/cm³.

The space group is C2/c (No. 15) and the conventional cell measures 10.080, 5.872 and 8.268 Å, with angles of 90.00, 103.16 and 90.00 degrees. The asymmetric unit holds Sr at (0.151, 0.134, 0.152), Cu at (0.000, 0.373, 0.750) and Pd at (0.126, 0.371, 0.503).

***

y | Entry from Alexandria via LeMat-Bulk: an optimized crystal structure of Sr2CuPd2 (PBE-GGA).

Its calculated density is 5.61 g/cm³.

The space group is I4/mmm (No. 139) and the conventional cell measures 5.871, 5.871 and 7.757 Å, with angles of 90.00, 90.00 and 90.00 degrees. The asymmetric unit holds Sr at (0.000, 0.500, 0.250), Cu at (0.000, 0.000, 0.000) and Pd at (0.000, 0.000, 0.329).

***

Which of them is the least stable? Correct choice: y.

***

w | Entry from Alexandria via LeMat-Bulk: an optimized crystal structure of Sr2CuPd2 (PBE-GGA).

Its calculated density is 6.22 g/cm³.

The space group is P4/mbm (No. 127) and the conventional cell measures 7.376, 7.376 and 4.434 Å, with angles of 90.00, 90.00 and 90.00 degrees. The asymmetric unit holds Sr at (0.175, 0.325, 0.000), Cu at (0.000, 0.000, 0.500) and Pd at (0.134, 0.634, 0.500).

***

x | Entry from Alexandria via LeMat-Bulk: an optimized crystal structure of Sr2CuPd2 (PBE-GGA).

Its calculated density is 5.73 g/cm³.

The space group is I4/mmm (No. 139) and the conventional cell measures 3.873, 3.873 and 17.443 Å, with angles of 90.00, 90.00 and 90.00 degrees. The asymmetric unit holds Sr at (0.000, 0.000, 0.113), Cu at (0.000, 0.000, 0.500) and Pd at (0.000, 0.500, 0.250).

***

Which of them is the least stable? Correct choice: x.

***

w | Entry from Alexandria via LeMat-Bulk: an optimized crystal structure of SrCu2Pd (PBE-GGA).

Its calculated density is 5.64 g/cm³.

The space group is I4_1/amd (No. 141, origin choice 2) and the conventional cell measures 4.613, 4.613 and 17.755 Å, with angles of 90.00, 90.00 and 90.00 degrees. The asymmetric unit holds Sr at (0.000, 0.250, 0.375), Cu at (0.000, 0.000, 0.000) and Pd at (0.000, 0.250, 0.875).

***

x | Entry from Alexandria via LeMat-Bulk: an optimized crystal structure of SrCu2Pd (PBE-GGA).

Its calculated density is 6.47 g/cm³.

The space group is Pmmn (No. 59, origin choice 2) and the conventional cell measures 4.311, 6.609 and 5.783 Å, with angles of 90.00, 90.00 and 90.00 degrees. The asymmetric unit holds Sr at (0.250, 0.250, 0.119), Cu at (0.250, 0.054, 0.600) and Pd at (0.250, 0.750, 0.312).

***

Which of them is the least stable? Correct choice: w.

***

w | Entry from Alexandria via LeMat-Bulk: an optimized crystal structure of Sr2Cu2Pd (PBE-GGA).

Its calculated density is 5.72 g/cm³.

The space group is I4/mmm (No. 139) and the conventional cell measures 3.625, 3.625 and 18.074 Å, with angles of 90.00, 90.00 and 90.00 degrees. The asymmetric unit holds Sr at (0.000, 0.000, 0.104), Cu at (0.000, 0.500, 0.250) and Pd at (0.000, 0.000, 0.500).

***

x | Entry from Alexandria via LeMat-Bulk: an optimized crystal structure of Sr2Cu2Pd (PBE-GGA).

Its calculated density is 5.79 g/cm³.

The space group is C2/c (No. 15) and the conventional cell measures 9.496, 5.834 and 8.671 Å, with angles of 90.00, 102.54 and 90.00 degrees. The asymmetric unit holds Sr at (0.153, 0.128, 0.154), Cu at (0.127, 0.374, 0.505) and Pd at (0.000, 0.377, 0.750).

***

Which of them is the least stable? Correct choice: w.

***

w | Entry from Alexandria via LeMat-Bulk: an optimized crystal structure of Sr2Cu2Pd (PBE-GGA).

Its calculated density is 5.29 g/cm³.

The space group is I4/mmm (No. 139) and the conventional cell measures 5.857, 5.857 and 7.484 Å, with angles of 90.00, 90.00 and 90.00 degrees. The asymmetric unit holds Sr at (0.000, 0.500, 0.250), Cu at (0.000, 0.000, 0.157) and Pd at (0.000, 0.000, 0.500).

***

x | Entry from Alexandria via LeMat-Bulk: an optimized crystal structure of Sr2Cu2Pd (PBE-GGA).

Its calculated density is 5.35 g/cm³.

The space group is C2/m (No. 12) and the conventional cell measures 11.240, 4.396 and 11.458 Å, with angles of 90.00, 116.34 and 90.00 degrees. The asymmetric unit holds Sr at (0.094, 0.000, 0.389), Sr at (0.199, 0.500, 0.137), Cu at (0.037, 0.000, 0.916), Cu at (0.106, 0.500, 0.607) and Pd at (0.072, 0.500, 0.816).

***

Which of them is the least stable? Correct choice: w.

***

w | Entry from Alexandria via LeMat-Bulk: an optimized crystal structure of SrCuPd4 (PBE-GGA).

Its calculated density is 8.57 g/cm³.

The space group is F-43m (No. 216) and the conventional cell measures 7.645, 7.645 and 7.645 Å, with angles of 90.00, 90.00 and 90.00 degrees. The asymmetric unit holds Sr at (0.000, 0.000, 0.000), Cu at (0.250, 0.250, 0.250) and Pd at (0.124, 0.124, 0.624).

***

x | Entry from Alexandria via LeMat-Bulk: an optimized crystal structure of SrCuPd4 (PBE-GGA).

Its calculated density is 8.70 g/cm³.

The space group is Pmma (No. 51) and the conventional cell measures 7.761, 4.043 and 7.016 Å, with angles of 90.00, 90.00 and 90.00 degrees. The asymmetric unit holds Sr at (0.250, 0.000, 0.131), Cu at (0.250, 0.000, 0.720), Pd at (0.000, 0.000, 0.500), Pd at (0.056, 0.500, 0.801) and Pd at (0.250, 0.500, 0.462).

***

Which of them is the least stable? Correct choice: w.

***

w | Entry from Alexandria via LeMat-Bulk: an optimized crystal structure of TaCu2Pd8 (PBE-GGA).

Its calculated density is 11.20 g/cm³.

The space group is Cmmm (No. 65) and the conventional cell measures 7.966, 10.447 and 4.133 Å, with angles of 90.00, 90.00 and 90.00 degrees. The asymmetric unit holds Ta at (0.000, 0.000, 0.000), Cu at (0.000, 0.385, 0.500), Pd at (0.000, 0.253, 0.000), Pd at (0.169, 0.500, 0.000) and Pd at (0.172, 0.132, 0.500).

***

x | Entry from Alexandria via LeMat-Bulk: an optimized crystal structure of TaCu2Pd8 (PBE-GGA).

Its calculated density is 10.01 g/cm³.

The space group is C2/m (No. 12) and the conventional cell measures 9.867, 8.739 and 4.628 Å, with angles of 90.00, 105.46 and 90.00 degrees. The asymmetric unit holds Ta at (0.000, 0.000, 0.000), Cu at (0.147, 0.000, 0.545), Pd at (0.081, 0.500, 0.297), Pd at (0.084, 0.243, 0.793) and Pd at (0.235, 0.500, 0.888).

***

Which of them is the least stable? Correct choice: x.

***

w | Entry from Alexandria via LeMat-Bulk: an optimized crystal structure of TaCu2Pd (PBE-GGA).

Its calculated density is 12.17 g/cm³.

The space group is Fm-3m (No. 225) and the conventional cell measures 6.093, 6.093 and 6.093 Å, with angles of 90.00, 90.00 and 90.00 degrees. The asymmetric unit holds Ta at (0.000, 0.000, 0.000), Cu at (0.250, 0.250, 0.250) and Pd at (0.000, 0.000, 0.500).

***

x | Entry from Alexandria via LeMat-Bulk: an optimized crystal structure of TaCu2Pd (PBE-GGA).

Its calculated density is 11.95 g/cm³.

The space group is P4/mmm (No. 123) and the conventional cell measures 2.891, 2.891 and 6.889 Å, with angles of 90.00, 90.00 and 90.00 degrees. The asymmetric unit holds Ta at (0.000, 0.000, 0.000), Cu at (0.500, 0.500, 0.263) and Pd at (0.000, 0.000, 0.500).

***

Which of them is the least stable? Correct choice: x.

***

w | Entry from Alexandria via LeMat-Bulk: an optimized crystal structure of TaCuPd (PBE-GGA).

Its calculated density is 12.53 g/cm³.

The space group is Cmcm (No. 63) and the conventional cell measures 2.883, 17.050 and 3.786 Å, with angles of 90.00, 90.00 and 90.00 degrees. The asymmetric unit holds Ta at (0.000, 0.200, 0.250), Cu at (0.000, 0.041, 0.250) and Pd at (0.000, 0.387, 0.250).

***

x | Entry from Alexandria via LeMat-Bulk: an optimized crystal structure of TaCuPd (PBE-GGA).

Its calculated density is 12.91 g/cm³.

The space group is P-6m2 (No. 187) and the conventional cell measures 4.3753, 4.3753 and 2.7216 Å, with angles of 90.00, 90.00 and 120.00 degrees. The asymmetric unit holds Ta at (0.0000, 0.0000, 0.0000), Cu at (0.3333, 0.6667, 0.5000) and Pd at (0.6667, 0.3333, 0.5000).

***

Which of them is the least stable? Correct choice: w.

***

w | Entry from Alexandria via LeMat-Bulk: an optimized crystal structure of TaCuPd6 (PBE-GGA).

Its calculated density is 11.69 g/cm³.

The space group is P-1 (No. 2) and the conventional cell measures 4.997, 5.002 and 5.017 Å, with angles of 88.88, 89.86 and 89.53 degrees. The asymmetric unit holds Ta at (0.000, 0.000, 0.000), Cu at (0.500, 0.500, 0.500), Pd at (0.006, 0.748, 0.523), Pd at (0.252, 0.480, 0.988) and Pd at (0.487, 0.991, 0.252).

***

x | Entry from Alexandria via LeMat-Bulk: an optimized crystal structure of TaCuPd6 (PBE-GGA).

Its calculated density is 12.06 g/cm³.

The space group is P4/mmm (No. 123) and the conventional cell measures 3.951, 3.951 and 7.788 Å, with angles of 90.00, 90.00 and 90.00 degrees. The asymmetric unit holds Ta at (0.000, 0.000, 0.000), Cu at (0.000, 0.000, 0.500), Pd at (0.000, 0.500, 0.248), Pd at (0.500, 0.500, 0.000) and Pd at (0.500, 0.500, 0.500).

***

Which of them is the least stable? Correct choice: w.

***

w | Entry from Alexandria via LeMat-Bulk: an optimized crystal structure of Tb8CuPd2 (PBE-GGA).

Its calculated density is 8.79 g/cm³.

The space group is C2/m (No. 12) and the conventional cell measures 17.655, 5.092 and 6.761 Å, with angles of 90.00, 105.82 and 90.00 degrees. The asymmetric unit holds Tb at (0.031, 0.000, 0.283), Tb at (0.091, 0.500, 0.958), Tb at (0.168, 0.500, 0.484), Tb at (0.202, 0.000, 0.829), Cu at (0.000, 0.500, 0.500) and Pd at (0.183, 0.000, 0.232).

***

x | Entry from Alexandria via LeMat-Bulk: an optimized crystal structure of Tb8CuPd2 (PBE-GGA).

Its calculated density is 8.34 g/cm³.

The space group is Cm (No. 8) and the conventional cell measures 8.396, 13.029 and 5.964 Å, with angles of 90.00, 109.20 and 90.00 degrees. The asymmetric unit holds Tb at (0.000, 0.000, 0.000), Tb at (0.079, 0.372, 0.800), Tb at (0.153, 0.127, 0.584), Tb at (0.228, 0.500, 0.364), Tb at (0.368, 0.214, 0.183), Cu at (0.363, 0.000, 0.005) and Pd at (0.363, 0.308, 0.679).

***

Which of them is the least stable? Correct choice: x.